Record 1
First-principles (PBE-GGA) data for a relaxed Dy3Er3FeTe2 crystal, as listed in OQMD.

Results
The density comes out at 9.2 g cm⁻³. As for the space group: No. 189. The energy above the most stable polymorph in this dataset is 0 meV/atom.

Cell: 8.2620 8.2620 3.9768 Å, 90.00 90.00 120.00°
Fractional coordinates of all 9 atoms:
Dy (0.0000, 0.6038, 0.0000)
Dy (0.3962, 0.3962, 0.0000)
Dy (0.6038, 0.0000, 0.0000)
Er (0.0000, 0.2340, 0.5000)
Er (0.2340, 0.0000, 0.5000)
Er (0.7660, 0.7660, 0.5000)
Fe (0.0000, 0.0000, 0.0000)
Te (0.3333, 0.6667, 0.5000)
Te (0.6667, 0.3333, 0.5000)

***

Record 2
First-principles (PBE-GGA) data for a relaxed TbAuSO crystal, as listed in OQMD.

Results
The density comes out at 9.4 g cm⁻³. As for the space group: No. 39. The energy above the most stable polymorph in this dataset is 32 meV/atom.

Cell: 9.0590 5.6114 5.6226 Å, 90.00 90.00 90.00°
Fractional coordinates of all 16 atoms:
Tb (0.1228, 0.2500, 0.0000)
Tb (0.1228, 0.7500, 0.5000)
Tb (0.8772, 0.2500, 0.5000)
Tb (0.8772, 0.7500, 0.0000)
Au (0.5000, 0.0000, 0.0010)
Au (0.5000, 0.0000, 0.5010)
Au (0.5000, 0.5000, 0.0010)
Au (0.5000, 0.5000, 0.5010)
S (0.2832, 0.2500, 0.5009)
S (0.2832, 0.7500, 0.0009)
S (0.7168, 0.2500, 0.0009)
S (0.7168, 0.7500, 0.5009)
O (0.0000, 0.0000, 0.2501)
O (0.0000, 0.0000, 0.7501)
O (0.0000, 0.5000, 0.2501)
O (0.0000, 0.5000, 0.7501)

***

Record 3
First-principles (PBE-GGA) data for a relaxed ScAsIrO crystal, as listed in OQMD.

Results
The density comes out at 8.5 g cm⁻³. As for the space group: No. 26. The energy above the most stable polymorph in this dataset is 467 meV/atom.

Cell: 4.1390 5.5822 5.5644 Å, 90.00 90.00 90.00°
Fractional coordinates of all 8 atoms:
Sc (0.0000, 0.2170, 0.0000)
Sc (0.0000, 0.7830, 0.5000)
As (0.0000, 0.2850, 0.4989)
As (0.0000, 0.7150, 0.9989)
Ir (0.5000, 0.4984, 0.7441)
Ir (0.5000, 0.5016, 0.2441)
O (0.5000, 0.2196, 0.9950)
O (0.5000, 0.7804, 0.4950)

***

Record 4
First-principles (PBE-GGA) data for a relaxed Si2Pd9 crystal, as listed in OQMD.

Results
The density comes out at 10.4 g cm⁻³. As for the space group: No. 62. The energy above the most stable polymorph in this dataset is 0 meV/atom.

Cell: 9.1205 7.4772 9.4838 Å, 90.00 90.00 90.00°
Fractional coordinates of all 44 atoms:
Si (0.1330, 0.2500, 0.2123)
Si (0.2275, 0.7500, 0.3219)
Si (0.2725, 0.2500, 0.8219)
Si (0.3670, 0.7500, 0.7123)
Si (0.6330, 0.2500, 0.2877)
Si (0.7275, 0.7500, 0.1781)
Si (0.7725, 0.2500, 0.6781)
Si (0.8670, 0.7500, 0.7877)
Pd (0.0501, 0.2500, 0.6649)
Pd (0.0588, 0.2500, 0.9706)
Pd (0.1027, 0.5658, 0.8191)
Pd (0.1027, 0.9342, 0.8191)
Pd (0.1119, 0.0573, 0.4070)
Pd (0.1119, 0.4427, 0.4070)
Pd (0.1481, 0.7500, 0.5676)
Pd (0.1820, 0.5591, 0.1215)
Pd (0.1820, 0.9409, 0.1215)
Pd (0.3180, 0.0591, 0.6215)
Pd (0.3180, 0.4409, 0.6215)
Pd (0.3519, 0.2500, 0.0676)
Pd (0.3881, 0.5573, 0.9070)
Pd (0.3881, 0.9427, 0.9070)
Pd (0.3973, 0.0658, 0.3191)
Pd (0.3973, 0.4342, 0.3191)
Pd (0.4412, 0.7500, 0.4706)
Pd (0.4499, 0.7500, 0.1649)
Pd (0.5501, 0.2500, 0.8351)
Pd (0.5588, 0.2500, 0.5294)
Pd (0.6027, 0.5658, 0.6809)
Pd (0.6027, 0.9342, 0.6809)
Pd (0.6119, 0.0573, 0.0930)
Pd (0.6119, 0.4427, 0.0930)
Pd (0.6481, 0.7500, 0.9324)
Pd (0.6820, 0.5591, 0.3785)
Pd (0.6820, 0.9409, 0.3785)
Pd (0.8180, 0.0591, 0.8785)
Pd (0.8180, 0.4409, 0.8785)
Pd (0.8519, 0.2500, 0.4324)
Pd (0.8881, 0.5573, 0.5930)
Pd (0.8881, 0.9427, 0.5930)
Pd (0.8973, 0.0658, 0.1809)
Pd (0.8973, 0.4342, 0.1809)
Pd (0.9412, 0.7500, 0.0294)
Pd (0.9499, 0.7500, 0.3351)

***

What did the third record say?
First-principles (PBE-GGA) data for a relaxed ScAsIrO crystal, as listed in OQMD.

Results
The density comes out at 8.5 g cm⁻³. As for the space group: No. 26. The energy above the most stable polymorph in this dataset is 467 meV/atom.

Cell: 4.1390 5.5822 5.5644 Å, 90.00 90.00 90.00°
Fractional coordinates of all 8 atoms:
Sc (0.0000, 0.2170, 0.0000)
Sc (0.0000, 0.7830, 0.5000)
As (0.0000, 0.2850, 0.4989)
As (0.0000, 0.7150, 0.9989)
Ir (0.5000, 0.4984, 0.7441)
Ir (0.5000, 0.5016, 0.2441)
O (0.5000, 0.2196, 0.9950)
O (0.5000, 0.7804, 0.4950)

***

Which of these has the highest energy above the most stable polymorph in this dataset? ScAsIrO